Crystalline Ba2NiAu at its relaxed geometry, computed with PBE.

Structure (POSCAR):
```
Ba2NiAu
1.0
-1.5337 -5.7306 -3.1609
4.0495 -5.3645 0.0851
-2.7381 4.4726 4.2051
Au Ba Ni
1 2 1
Direct
0.7500 0.2500 0.5000
0.0000 0.0000 0.0000
0.2500 0.7500 0.5000
0.5000 0.5000 0.0000
```

Output
For the final energy, the calculation gives -3.28 eV/atom. For the energy relative to the elements, the calculation gives -0.0533 eV per atom.



Crystalline Nd6TlAu at its relaxed geometry, computed with PBE.

Structure (POSCAR):
```
Nd6TlAu
1.0
-6.4417 -6.1283 -2.4499
1.6934 -6.6242 -5.2115
-0.8871 -6.2107 0.5288
Nd Tl Au
6 1 1
Direct
0.0255 0.4404 0.7786
0.7551 0.9720 0.7142
0.5596 0.2439 0.1729
0.2449 0.0280 0.2858
0.9745 0.5596 0.2214
0.4404 0.7561 0.8271
0.5000 0.5000 0.5000
0.0000 0.0000 0.0000
```

Output
For the final energy, the calculation gives -4.50 eV/atom. For the energy relative to the elements, the calculation gives -0.2137 eV per atom.



Crystalline NaLa2NdS4 at its relaxed geometry, computed with PBE.

Structure (POSCAR):
```
NaLa2NdS4
1.0
4.1273 0.0000 0.0000
0.0000 7.1926 0.1521
0.0000 -2.5097 6.6143
Na La Nd S
1 2 1 4
Direct
0.0000 0.0000 0.0000
0.5000 0.0000 0.5000
0.0000 0.5000 0.5000
0.5000 0.5000 0.0000
0.5000 0.2519 0.2490
0.5000 0.7481 0.7510
0.0000 0.2507 0.7550
0.0000 0.7492 0.2450
```

Output
For the final energy, the calculation gives -6.03 eV/atom. The value obtained for the uncorrected formation energy is -1969 meV/atom.



Crystalline PaTaNbAl at its relaxed geometry, computed with PBE.

Structure (POSCAR):
```
PaTaNbAl
1.0
-3.3434 -2.7666 -1.9449
-3.2587 -2.0904 2.7615
-4.5214 1.4680 -0.1295
Nb Pa Al Ta
1 1 1 1
Direct
0.5000 0.5000 0.5000
0.2500 0.2500 0.2500
0.7500 0.7500 0.7500
0.0000 0.0000 0.0000
```

Output
For the final energy, the calculation gives -8.83 eV/atom. For the energy relative to the elements, the calculation gives -0.0357 eV per atom.



Crystalline Sr4H2O at its relaxed geometry, computed with PBE.

Structure (POSCAR):
```
Sr4H2O
1.0
-0.9456 -1.2990 4.9350
-2.1395 -4.4557 -1.5827
4.1797 -5.7462 2.0174
Sr O H
4 1 2
Direct
0.7839 0.7839 0.4323
0.2161 0.2161 0.5677
0.0000 0.5000 0.0000
0.5000 0.0000 0.0000
0.0000 0.0000 0.0000
0.5894 0.5894 0.8212
0.4106 0.4106 0.1788
```

Output
For the final energy, the calculation gives -3.43 eV/atom.



Crystalline Cd2CuRu at its relaxed geometry, computed with PBE.

Structure (POSCAR):
```
Cd2CuRu
1.0
-3.0046 -1.5217 3.5320
-3.1125 -3.4932 1.3886
3.0616 -3.0378 2.6400
Cd Cu Ru
2 1 1
Direct
0.0034 0.0034 0.9981
0.4966 0.4966 0.5019
0.7500 0.7500 0.7500
0.2500 0.2500 0.2500
```

Output
The value obtained for the distance to the lowest polymorph of the same formula is 0.1265 eV per atom. For the final energy, the calculation gives -3.47 eV/atom. For the energy relative to the elements, the calculation gives 0.3352 eV per atom.



Crystalline PrDy3Se4 at its relaxed geometry, computed with PBE.

Structure (POSCAR):
```
PrDy3Se4
1.0
-3.7693 0.0246 1.5123
-2.1795 -4.2510 -5.3629
2.1668 -4.1220 5.4678
Pr Dy Se
1 3 4
Direct
0.5000 0.0000 0.0000
0.0000 0.0000 0.5000
0.5000 0.5000 0.5000
0.0000 0.5000 0.0000
0.0000 0.2613 0.2613
0.5000 0.7445 0.2555
0.0000 0.7387 0.7387
0.5000 0.2555 0.7445
```

Output
The value obtained for the distance to the lowest polymorph of the same formula is 0.0035 eV per atom. For the final energy, the calculation gives -5.83 eV/atom. The value obtained for the uncorrected formation energy is -1766 meV/atom.



Crystalline Ag4I3F2 at its relaxed geometry, computed with PBE.

Structure (POSCAR):
```
Ag4I3F2
1.0
-2.3411 -2.9416 0.8927
6.1976 -2.6825 -0.9487
-0.1149 2.5763 8.1878
Ag I F
4 3 2
Direct
0.6807 0.3614 0.1220
0.0651 0.1302 0.6797
0.9349 0.8698 0.3203
0.3193 0.6386 0.8780
0.3777 0.7555 0.5763
0.0000 0.0000 0.0000
0.6223 0.2445 0.4237
0.3061 0.6122 0.1548
0.6939 0.3878 0.8452
```

Output
For the final energy, the calculation gives -2.67 eV/atom. The value obtained for the uncorrected formation energy is -466 meV/atom.



Calculated values (states/eV/cell) of N(E_F) for the records, taken in order: 1.97 8.27 2.78 2.91 2.01 2.77 4.74 8.01.
Calculated values (Bohr magnetons per cell) of magnetic moment for the records, taken in order: 0.00 0.00 0.00 0.00 0.00 0.83 0.00 0.00.